## Tm2ScOs (PBE)

Data for a relaxed structure of Tm2ScOs.

**E_form**: 0.238 eV per atom
**Energy above the most stable polymorph in this dataset**: 0.561 eV per atom

Cell lengths 3.2793, 3.2793, 10.6634 Å; angles 81.15, 81.15, 60.00 degrees
Closest atoms and distances in Å follow each position.
Fractional coordinates of all 4 atoms:
Tm: 0.1008 0.1008 0.6975  3 Os 2.81
Sc: 0.0000 0.0000 0.0000  2 Tm 3.17, 6 Sc 3.28
Tm: 0.8992 0.8992 0.3025  3 Os 2.81
Os: 0.5000 0.5000 0.5000  6 Tm 2.81